[1]
# PBE PaHRh, optimized geometry
data_PaHRh
_chemical_formula_sum 'Pa16 H16 Rh16'
_cell_length_a 9.388
_cell_length_b 9.388
_cell_length_c 8.737
_cell_angle_alpha 90.00
_cell_angle_beta 90.00
_cell_angle_gamma 90.00
_space_group_name_H-M_alt 'I 41/a'
_space_group_IT_number 88
loop_
_space_group_symop_operation_xyz
'x,y,z'
'-x,-y,-z'
'-y+3/4,x+1/4,z+1/4'
'y+3/4,-x+1/4,-z+1/4'
'-x+1/2,-y,z+1/2'
'x+1/2,y,-z+1/2'
'y+3/4,-x+3/4,z+3/4'
'-y+3/4,x+3/4,-z+3/4'
'x+1/2,y+1/2,z+1/2'
'-x+1/2,-y+1/2,-z+1/2'
'-y+1/4,x+3/4,z+3/4'
'y+1/4,-x+3/4,-z+3/4'
'-x,-y+1/2,z'
'x,y+1/2,-z'
'y+1/4,-x+1/4,z+1/4'
'-y+1/4,x+1/4,-z+1/4'
loop_
_atom_site_label
_atom_site_type_symbol
_atom_site_fract_x
_atom_site_fract_y
_atom_site_fract_z
Pa1 Pa 0.064 0.455 0.310
H1 H 0.064 0.383 0.550
Rh1 Rh 0.121 0.436 0.932
# energy relative to the lowest polymorph listed for this composition	0.2266	eV per atom

[2]
# PBE CsRbBiTe2, optimized geometry
data_CsRbBiTe2
_chemical_formula_sum 'Cs1 Rb1 Bi1 Te2'
_cell_length_a 6.810
_cell_length_b 6.810
_cell_length_c 6.566
_cell_angle_alpha 90.00
_cell_angle_beta 90.00
_cell_angle_gamma 90.00
_space_group_name_H-M_alt 'P 4/m m m'
_space_group_IT_number 123
_space_group_name_Hall '-P 4 2'
loop_
_atom_site_label
_atom_site_type_symbol
_atom_site_fract_x
_atom_site_fract_y
_atom_site_fract_z
Cs1 Cs 0.000 0.000 0.000
Rb1 Rb 0.500 0.500 0.500
Bi1 Bi 0.000 0.000 0.500
Te1 Te 0.000 0.500 0.000
# energy relative to the lowest polymorph listed for this composition	0.9371	eV per atom
# uncorrected formation energy	0.38	eV per atom

[3]
# PBE Ba6TeS2I3, optimized geometry
data_Ba6TeS2I3
_chemical_formula_sum 'Ba12 Te2 S4 I6'
_cell_length_a 8.236
_cell_length_b 14.250
_cell_length_c 8.665
_cell_angle_alpha 90.00
_cell_angle_beta 108.48
_cell_angle_gamma 90.00
_space_group_name_H-M_alt 'C 1 2/m 1'
_space_group_IT_number 12
loop_
_space_group_symop_operation_xyz
'x,y,z'
'-x,-y,-z'
'-x,y,-z'
'x,-y,z'
'x+1/2,y+1/2,z'
'-x+1/2,-y+1/2,-z'
'-x+1/2,y+1/2,-z'
'x+1/2,-y+1/2,z'
loop_
_atom_site_label
_atom_site_type_symbol
_atom_site_fract_x
_atom_site_fract_y
_atom_site_fract_z
Ba1 Ba 0.217 0.000 0.208
Ba2 Ba 0.247 0.324 0.212
Te1 Te 0.000 0.500 0.000
S1 S 0.000 0.167 0.000
I1 I 0.000 0.000 0.500
I2 I 0.000 0.340 0.500
# uncorrected formation energy	-1.67	eV per atom

[4]
# PBE LiGd3Ir, optimized geometry
data_LiGd3Ir
_chemical_formula_sum 'Li1 Gd3 Ir1'
_cell_length_a 5.484
_cell_length_b 5.484
_cell_length_c 5.484
_cell_angle_alpha 90.00
_cell_angle_beta 90.00
_cell_angle_gamma 90.00
_space_group_name_H-M_alt 'P m -3 m'
_space_group_IT_number 221
_space_group_name_Hall '-P 4 2 3'
loop_
_atom_site_label
_atom_site_type_symbol
_atom_site_fract_x
_atom_site_fract_y
_atom_site_fract_z
Li1 Li 0.000 0.000 0.000
Gd1 Gd 0.000 0.500 0.500
Ir1 Ir 0.500 0.500 0.500
# DFT formation energy	-0.24	eV/atom

[5]
# PBE Ti2GaSn, optimized geometry
data_Ti2GaSn
_chemical_formula_sum 'Ti8 Ga4 Sn4'
_cell_length_a 7.327
_cell_length_b 7.327
_cell_length_c 5.725
_cell_angle_alpha 90.00
_cell_angle_beta 90.00
_cell_angle_gamma 90.00
_space_group_name_H-M_alt 'I -4 2 d'
_space_group_IT_number 122
_space_group_name_Hall 'I -4 2bw'
loop_
_atom_site_label
_atom_site_type_symbol
_atom_site_fract_x
_atom_site_fract_y
_atom_site_fract_z
Ti1 Ti 0.237 0.250 0.125
Ga1 Ga 0.000 0.000 0.000
Sn1 Sn 0.000 0.000 0.500
# DFT formation energy	-0.06	eV/atom

[6]
# PBE Ac3ZnCd2Pd6, optimized geometry
data_Ac3ZnCd2Pd6
_chemical_formula_sum 'Ac3 Zn1 Cd2 Pd6'
_cell_length_a 5.9241
_cell_length_b 5.9241
_cell_length_c 9.0520
_cell_angle_alpha 90.00
_cell_angle_beta 90.00
_cell_angle_gamma 120.00
_space_group_name_H-M_alt 'P -3 m 1'
_space_group_IT_number 164
_space_group_name_Hall '-P 3 2"'
loop_
_atom_site_label
_atom_site_type_symbol
_atom_site_fract_x
_atom_site_fract_y
_atom_site_fract_z
Ac1 Ac 0.0000 0.0000 0.0000
Ac2 Ac 0.3333 0.6667 0.6221
Zn1 Zn 0.0000 0.0000 0.5000
Cd1 Cd 0.3333 0.6667 0.0293
Pd1 Pd 0.1718 0.3437 0.2888
# DFT formation energy	-0.66	eV/atom

[7]
# PBE TbPm14Dy, optimized geometry
data_TbPm14Dy
_chemical_formula_sum 'Tb1 Pm14 Dy1'
_cell_length_a 7.281
_cell_length_b 7.281
_cell_length_c 10.272
_cell_angle_alpha 90.00
_cell_angle_beta 90.00
_cell_angle_gamma 90.00
_space_group_name_H-M_alt 'P 4/m m m'
_space_group_IT_number 123
_space_group_name_Hall '-P 4 2'
loop_
_atom_site_label
_atom_site_type_symbol
_atom_site_fract_x
_atom_site_fract_y
_atom_site_fract_z
Tb1 Tb 0.000 0.000 0.000
Pm1 Pm 0.000 0.000 0.500
Pm2 Pm 0.000 0.500 0.000
Pm3 Pm 0.000 0.500 0.500
Pm4 Pm 0.250 0.250 0.248
Pm5 Pm 0.500 0.500 0.500
Dy1 Dy 0.500 0.500 0.000
# DFT formation energy	0.01	eV/atom

[8]
# PBE LaCe2Eu, optimized geometry
data_LaCe2Eu
_chemical_formula_sum 'La3 Ce6 Eu3'
_cell_length_a 3.4151
_cell_length_b 3.4151
_cell_length_c 37.9342
_cell_angle_alpha 90.00
_cell_angle_beta 90.00
_cell_angle_gamma 120.00
_space_group_name_H-M_alt 'R -3 m'
_space_group_IT_number 166
_space_group_name_Hall '-R 3 2"'
loop_
_atom_site_label
_atom_site_type_symbol
_atom_site_fract_x
_atom_site_fract_y
_atom_site_fract_z
La1 La 0.0000 0.0000 0.0000
Ce1 Ce 0.0000 0.0000 0.0846
Eu1 Eu 0.0000 0.0000 0.5000
# DFT formation energy	0.29	eV/atom
# energy relative to the lowest polymorph listed for this composition	0.0908	eV per atom

Spin magnetization (μB per formula unit)
0.00 0.20 0.00 21.34 0.00 0.00 0.00 8.68